Entry 1:
Computed, not measured: a geometry-optimized DyGeRuO structure at the PBE-GGA level of DFT.

uncorrected formation energy: -1.6714 eV/atom
mass density: 8.72 g cm⁻³

abc: 4.0899 4.0899 8.0161
angles: 90.00 90.00 90.00
With the nearest neighbours (Å) after each atom.
Space group P4/nmm (No. 129, origin choice 2)
Symmetry-distinct sites (fractional):
Dy1 0.2500 0.2500 0.1293 x2  4 O 2.29
Ge1 0.2500 0.2500 0.6620 x2  4 Ru 2.42
Ru1 0.2500 0.7500 0.5000 x2  4 Ge 2.42
O1 0.2500 0.7500 0.0000 x2  4 Dy 2.29



Entry 2:
Computed, not measured: a geometry-optimized DyGe2SbO8 structure at the PBE-GGA level of DFT.

uncorrected formation energy: -1.8629 eV/atom
mass density: 6.17 g cm⁻³

abc: 6.9072 6.9072 6.2911
angles: 90.00 90.00 90.00
With the nearest neighbours (Å) after each atom.
Space group I-4m2 (No. 119)
Symmetry-distinct sites (fractional):
Dy1 0.0000 0.0000 0.0000 x2  8 O 2.25-2.38
Ge1 0.0000 0.0000 0.5000 x2  4 O 1.78
Ge2 0.0000 0.5000 0.2500 x2  4 O 1.77
Sb1 0.0000 0.5000 0.7500 x2  8 O 2.16-2.23
O1 0.0000 0.1930 0.6873 x8  1 Ge 1.78
O2 0.0000 0.3233 0.0466 x8  1 Ge 1.77



Entry 3:
Computed, not measured: a geometry-optimized DySnGe2O8 structure at the PBE-GGA level of DFT.

uncorrected formation energy: -1.8199 eV/atom
mass density: 5.95 g cm⁻³

abc: 6.9560 6.9560 6.3937
angles: 90.00 90.00 90.00
With the nearest neighbours (Å) after each atom.
Space group I-4m2 (No. 119)
Symmetry-distinct sites (fractional):
Dy1 0.0000 0.0000 0.0000 x2  8 O 2.26-2.41
Sn1 0.0000 0.5000 0.2500 x2  8 O 2.19-2.32
Ge1 0.0000 0.0000 0.5000 x2  4 O 1.78
Ge2 0.0000 0.5000 0.7500 x2  4 O 1.76
O1 0.0000 0.1909 0.3144 x8  1 Ge 1.78
O2 0.0000 0.3206 0.9447 x8  1 Ge 1.76



Entry 4:
Computed, not measured: a geometry-optimized DyThGe2O8 structure at the PBE-GGA level of DFT.

uncorrected formation energy: -2.5020 eV/atom
mass density: 6.52 g cm⁻³

abc: 7.1800 7.1800 6.5936
angles: 90.00 90.00 90.00
With the nearest neighbours (Å) after each atom.
Space group I-4m2 (No. 119)
Symmetry-distinct sites (fractional):
Dy1 0.0000 0.0000 0.0000 x2  8 O 2.31-2.46
Th1 0.0000 0.5000 0.7500 x2  8 O 2.34-2.49
Ge1 0.0000 0.0000 0.5000 x2  4 O 1.77
Ge2 0.0000 0.5000 0.2500 x2  4 O 1.77
O1 0.0000 0.1807 0.6825 x8  1 Ge 1.77
O2 0.0000 0.3157 0.0707 x8  1 Ge 1.77



Entry 5:
Computed, not measured: a geometry-optimized DyTiGe2O8 structure at the PBE-GGA level of DFT.

uncorrected formation energy: -2.1256 eV/atom
mass density: 5.49 g cm⁻³

abc: 6.7912 6.7912 6.3464
angles: 90.00 90.00 90.00
With the nearest neighbours (Å) after each atom.
Space group I-4m2 (No. 119)
Symmetry-distinct sites (fractional):
Dy1 0.0000 0.0000 0.0000 x2  8 O 2.21-2.44
Ti1 0.0000 0.5000 0.2500 x2  8 O 2.08-2.25
Ge1 0.0000 0.0000 0.5000 x2  4 O 1.78
Ge2 0.0000 0.5000 0.7500 x2  4 O 1.75
O1 0.0000 0.2004 0.3183 x8  1 Ge 1.78
O2 0.0000 0.3227 0.9509 x8  1 Ge 1.75



Entry 6:
Computed, not measured: a geometry-optimized DyTl2Ge2O6 structure at the PBE-GGA level of DFT.

uncorrected formation energy: -1.6855 eV/atom
mass density: 7.05 g cm⁻³

abc: 10.4987 6.0933 7.0890
angles: 90.00 122.38 90.00
With the nearest neighbours (Å) after each atom.
Space group C2/m (No. 12)
Symmetry-distinct sites (fractional):
Dy1 0.0000 0.0000 0.0000 x2  6 O 2.26-2.28
Tl1 0.2087 0.0000 0.6669 x4  6 O 2.89-3.23
Ge1 0.0531 0.5000 0.7188 x4  3 O 1.74-1.76
O1 0.0275 0.2613 0.2492 x8  1 Ge 1.76
O2 0.2479 0.5000 0.8428 x4  1 Ge 1.74



Entry 7:
Computed, not measured: a geometry-optimized Dy3Tl3GeO8 structure at the PBE-GGA level of DFT.

uncorrected formation energy: -2.1659 eV/atom
mass density: 8.32 g cm⁻³

abc: 6.7603 6.7603 19.6950
angles: 90.00 90.00 120.00
With the nearest neighbours (Å) after each atom.
Space group R-3m (No. 166, hexagonal axes)
Symmetry-distinct sites (fractional):
Dy1 0.0000 0.5000 0.0000 x9  6 O 2.24-2.33
Tl1 0.0000 0.5000 0.5000 x9  6 O 2.90-2.93
Ge1 0.0000 0.0000 0.0000 x3  6 O 2.01
O1 0.0000 0.0000 0.2780 x6  3 Dy 2.24
O2 0.0407 0.5204 0.7199 x18  1 Ge 2.01